First-principles (SCAN) data for Ag2Hg7P8I6 at its PBEsol-relaxed geometry, as listed in the Alexandria database.

a b c (Å): 8.508 8.508 8.353
angles (deg): 99.10 99.10 80.38
Positions (direct):
Ag1 0.000 0.500 0.000
Ag2 0.500 0.000 0.000
Hg1 0.000 0.000 0.500
Hg2 0.271 0.637 0.734
Hg3 0.272 0.272 0.366
Hg4 0.363 0.729 0.266
Hg5 0.637 0.271 0.734
Hg6 0.728 0.728 0.634
Hg7 0.729 0.363 0.266
P1 0.078 0.760 0.922
P2 0.085 0.085 0.242
P3 0.240 0.922 0.078
P4 0.437 0.437 0.566
P5 0.563 0.563 0.434
P6 0.760 0.078 0.922
P7 0.915 0.915 0.758
P8 0.922 0.240 0.078
I1 0.039 0.638 0.351
I2 0.355 0.355 0.036
I3 0.362 0.961 0.649
I4 0.638 0.039 0.351
I5 0.645 0.645 0.964
I6 0.961 0.362 0.649

Summary:
Electronic total energy: -847.27 eV per cell
E_form (uncorrected): -0.16 eV per atom
V: 583.1 Å³/f.u.
SG: No. 12